[1]
This record from the Alexandria database describes Ba2TiWBr after structural relaxation. The functional is PBE.

size of the total moment	7.1	μB/cell

Unit cell a=6.4241 b=6.4241 c=4.8578 alpha=90.00 beta=90.00 gamma=90.00
With the nearest neighbours (Å) after each atom.
Atoms (fractional coordinates):
1 Ba 0.0000 0.5000 0.0000  2 Ti 3.21
2 Ba 0.5000 0.0000 0.0000  2 Ti 3.21
3 Ti 0.0000 0.0000 0.0000  2 Br 2.43
4 W 0.5000 0.5000 0.5000  8 Ba 4.03
5 Br 0.0000 0.0000 0.5000  2 Ti 2.43

=====

[2]
This record from the Alexandria database describes BaTl2Br4 after structural relaxation. The functional is PBE.

size of the total moment	0.0	μB/cell
distance to the lowest polymorph of the same formula	0	meV per atom

Unit cell a=9.7813 b=9.7813 c=13.8107 alpha=90.00 beta=90.00 gamma=90.00
With the nearest neighbours (Å) after each atom.
Atoms (fractional coordinates):
1 Ba 0.0000 0.2617 0.0000  6 Br 3.22-3.28
2 Ba 0.0000 0.7383 0.5000  6 Br 3.22-3.28
3 Ba 0.2617 0.0000 0.7500  6 Br 3.22-3.28
4 Ba 0.7383 0.0000 0.2500  6 Br 3.22-3.28
5 Tl 0.2446 0.2446 0.3750  4 Br 3.20-3.29
6 Tl 0.2446 0.7554 0.1250  4 Br 3.20-3.29
7 Tl 0.2645 0.5000 0.7500  6 Br 3.32-3.45
8 Tl 0.5000 0.2645 0.0000  6 Br 3.32-3.45
9 Tl 0.5000 0.7355 0.5000  6 Br 3.32-3.45
10 Tl 0.7355 0.5000 0.2500  6 Br 3.32-3.45
11 Tl 0.7554 0.2446 0.6250  4 Br 3.20-3.29
12 Tl 0.7554 0.7554 0.8750  4 Br 3.20-3.29
13 Br 0.0275 0.2397 0.7652  2 Ba 3.26-3.28, 2 Tl 3.29-3.45
14 Br 0.0275 0.7603 0.7348  2 Ba 3.26-3.28, 2 Tl 3.29-3.45
15 Br 0.2397 0.0275 0.9848  2 Ba 3.26-3.28, 2 Tl 3.29-3.45
16 Br 0.2397 0.9725 0.5152  2 Ba 3.26-3.28, 2 Tl 3.29-3.45
17 Br 0.2418 0.4846 0.9946  3 Tl 3.20-3.39, 1 Ba 3.22
18 Br 0.2418 0.5154 0.5054  3 Tl 3.20-3.39, 1 Ba 3.22
19 Br 0.4846 0.2418 0.7554  3 Tl 3.20-3.39, 1 Ba 3.22
20 Br 0.4846 0.7582 0.7446  3 Tl 3.20-3.39, 1 Ba 3.22
21 Br 0.5154 0.2418 0.2446  3 Tl 3.20-3.39, 1 Ba 3.22
22 Br 0.5154 0.7582 0.2554  3 Tl 3.20-3.39, 1 Ba 3.22
23 Br 0.7582 0.4846 0.0054  3 Tl 3.20-3.39, 1 Ba 3.22
24 Br 0.7582 0.5154 0.4946  3 Tl 3.20-3.39, 1 Ba 3.22
25 Br 0.7603 0.0275 0.0152  2 Ba 3.26-3.28, 2 Tl 3.29-3.45
26 Br 0.7603 0.9725 0.4848  2 Ba 3.26-3.28, 2 Tl 3.29-3.45
27 Br 0.9725 0.2397 0.2348  2 Ba 3.26-3.28, 2 Tl 3.29-3.45
28 Br 0.9725 0.7603 0.2652  2 Ba 3.26-3.28, 2 Tl 3.29-3.45

=====

[3]
This record from the Alexandria database describes BaTl2Br after structural relaxation. The functional is PBE.

size of the total moment	0.0	μB/cell
distance to the lowest polymorph of the same formula	29	meV per atom

Unit cell a=4.4436 b=4.7783 c=13.9682 alpha=90.00 beta=90.00 gamma=90.00
With the nearest neighbours (Å) after each atom.
Atoms (fractional coordinates):
1 Ba 0.0000 0.0000 0.0000  4 Br 3.26
2 Ba 0.5000 0.5000 0.5000  4 Br 3.26
3 Tl 0.0000 0.5000 0.2648  4 Tl 3.29
4 Tl 0.0000 0.5000 0.7352  4 Tl 3.29
5 Tl 0.5000 0.0000 0.2352  4 Tl 3.29
6 Tl 0.5000 0.0000 0.7648  4 Tl 3.29
7 Br 0.0000 0.0000 0.5000  4 Ba 3.26
8 Br 0.5000 0.5000 0.0000  4 Ba 3.26

=====

[4]
This record from the Alexandria database describes BaTl2Br after structural relaxation. The functional is PBE.

size of the total moment	0.0	μB/cell
distance to the lowest polymorph of the same formula	447	meV per atom

Unit cell a=4.2085 b=4.2085 c=30.5270 alpha=90.00 beta=90.00 gamma=120.00
With the nearest neighbours (Å) after each atom.
Atoms (fractional coordinates):
1 Ba 0.0000 0.0000 0.0000  6 Tl 3.79, 6 Ba 4.21
2 Ba 0.3333 0.6667 0.6667  6 Tl 3.79, 6 Ba 4.21
3 Ba 0.6667 0.3333 0.3333  6 Tl 3.79, 6 Ba 4.21
4 Tl 0.0000 0.0000 0.2382  3 Br 3.27
5 Tl 0.0000 0.0000 0.7618  3 Br 3.27
6 Tl 0.3333 0.6667 0.4285  3 Br 3.27
7 Tl 0.3333 0.6667 0.9048  3 Br 3.27
8 Tl 0.6667 0.3333 0.0952  3 Br 3.27
9 Tl 0.6667 0.3333 0.5715  3 Br 3.27
10 Br 0.0000 0.0000 0.5000  6 Tl 3.27
11 Br 0.3333 0.6667 0.1667  6 Tl 3.27
12 Br 0.6667 0.3333 0.8333  6 Tl 3.27

=====

[5]
This record from the Alexandria database describes BaTl2Br after structural relaxation. The functional is PBE.

size of the total moment	0.0	μB/cell
distance to the lowest polymorph of the same formula	207	meV per atom

Unit cell a=9.8854 b=9.8854 c=6.4921 alpha=90.00 beta=90.00 gamma=90.00
With the nearest neighbours (Å) after each atom.
Atoms (fractional coordinates):
1 Ba 0.0000 0.0000 0.0000  2 Br 3.25
2 Ba 0.0000 0.5000 0.2500  2 Br 3.25
3 Ba 0.5000 0.0000 0.7500  2 Br 3.25
4 Ba 0.5000 0.5000 0.5000  2 Br 3.25
5 Tl 0.2189 0.7500 0.6250  2 Tl 3.30, 2 Br 3.38
6 Tl 0.2500 0.2189 0.3750  2 Tl 3.30, 2 Br 3.38
7 Tl 0.2500 0.2811 0.8750  2 Tl 3.30, 2 Br 3.38
8 Tl 0.2811 0.7500 0.1250  2 Tl 3.30, 2 Br 3.38
9 Tl 0.7189 0.2500 0.1250  2 Tl 3.30, 2 Br 3.38
10 Tl 0.7500 0.7189 0.8750  2 Tl 3.30, 2 Br 3.38
11 Tl 0.7500 0.7811 0.3750  2 Tl 3.30, 2 Br 3.38
12 Tl 0.7811 0.2500 0.6250  2 Tl 3.30, 2 Br 3.38
13 Br 0.0000 0.0000 0.5000  2 Ba 3.25, 4 Tl 3.38
14 Br 0.0000 0.5000 0.7500  2 Ba 3.25, 4 Tl 3.38
15 Br 0.5000 0.0000 0.2500  2 Ba 3.25, 4 Tl 3.38
16 Br 0.5000 0.5000 0.0000  2 Ba 3.25, 4 Tl 3.38

=====

[6]
This record from the Alexandria database describes BaTl2Br after structural relaxation. The functional is PBE.

size of the total moment	0.0	μB/cell
distance to the lowest polymorph of the same formula	394	meV per atom

Unit cell a=8.2964 b=8.2964 c=8.2964 alpha=90.00 beta=90.00 gamma=90.00
With the nearest neighbours (Å) after each atom.
Atoms (fractional coordinates):
1 Ba 0.0000 0.0000 0.0000  8 Tl 3.59
2 Ba 0.0000 0.5000 0.5000  8 Tl 3.59
3 Ba 0.5000 0.0000 0.5000  8 Tl 3.59
4 Ba 0.5000 0.5000 0.0000  8 Tl 3.59
5 Tl 0.2500 0.2500 0.2500  4 Br 3.59, 4 Ba 3.59
6 Tl 0.2500 0.2500 0.7500  4 Ba 3.59, 4 Br 3.59
7 Tl 0.2500 0.7500 0.2500  4 Ba 3.59, 4 Br 3.59
8 Tl 0.2500 0.7500 0.7500  4 Br 3.59, 4 Ba 3.59
9 Tl 0.7500 0.2500 0.2500  4 Ba 3.59, 4 Br 3.59
10 Tl 0.7500 0.2500 0.7500  4 Br 3.59, 4 Ba 3.59
11 Tl 0.7500 0.7500 0.2500  4 Br 3.59, 4 Ba 3.59
12 Tl 0.7500 0.7500 0.7500  4 Ba 3.59, 4 Br 3.59
13 Br 0.0000 0.0000 0.5000  8 Tl 3.59
14 Br 0.0000 0.5000 0.0000  8 Tl 3.59
15 Br 0.5000 0.0000 0.0000  8 Tl 3.59
16 Br 0.5000 0.5000 0.5000  8 Tl 3.59

=====

no.,energy (eV/cell)
1,-20.26
2,-92.76
3,-22.38
4,-28.55
5,-41.91
6,-38.92